# UInCu

Crystalline UInCu at its relaxed geometry (GGA-PBE, OQMD).

Unit cell a=4.8167 b=4.8167 c=4.8167 alpha=60.00 beta=60.00 gamma=60.00
Closest atoms and distances in Å follow each position.
Positions (direct):
Cu: 0.2500 0.2500 0.2500  4 U 2.95
In: 0.7500 0.7500 0.7500  4 U 2.95
U: 0.0000 0.0000 0.0000  4 Cu 2.95, 4 In 2.95

Properties
E_tot: -14.75 eV per formula unit

***

# In2CuW

Crystalline In2CuW at its relaxed geometry (GGA-PBE, OQMD).

Unit cell a=4.7021 b=4.7021 c=4.7021 alpha=60.00 beta=60.00 gamma=60.00
Closest atoms and distances in Å follow each position.
Positions (direct):
Cu: 0.2500 0.2500 0.2500  4 W 2.88, 4 In 2.88
In: 0.0000 0.0000 0.0000  4 Cu 2.88, 4 In 2.88
In: 0.7500 0.7500 0.7500  4 In 2.88, 4 W 2.88
W: 0.5000 0.5000 0.5000  4 Cu 2.88, 4 In 2.88

Properties
E_tot: -18.70 eV per formula unit

***

# YInCuW

Crystalline YInCuW at its relaxed geometry (GGA-PBE, OQMD).

Unit cell a=4.8411 b=4.8411 c=4.8411 alpha=60.00 beta=60.00 gamma=60.00
Closest atoms and distances in Å follow each position.
Positions (direct):
Cu: 0.7500 0.7500 0.7500  4 In 2.96, 4 Y 2.96
In: 0.0000 0.0000 0.0000  4 W 2.96, 4 Cu 2.96
W: 0.2500 0.2500 0.2500  4 In 2.96, 4 Y 2.96
Y: 0.5000 0.5000 0.5000  4 W 2.96, 4 Cu 2.96

Properties
Distance to the lowest polymorph of the same formula: 0 meV per atom